Entry 1:
VASP calculation (PBEsol) on a relaxed Sn15Os3O14 crystal.

Calculated values
Total DFT energy (no corrections), eV per atom: -6.603
ρ, g/cm3: 7.84
Space group: Cm (8)
Uncorrected formation energy, kJ/mol of formula units: -3596

Cell lengths 7.1253, 7.1725, 12.9628 Å; angles 105.98, 90.00, 119.78 degrees
Last column: nearest neighbours and their distance in Å.
Sites, in units of the cell vectors:
Sn (0.0948, 0.6721, 0.3468)  3 O 2.07-2.30
Sn (0.4870, 0.9740, 0.5803)  4 O 2.08-2.25
Sn (0.5773, 0.6721, 0.3468)  3 O 2.07-2.30
Sn (0.0148, 0.0295, 0.6203)  3 O 2.09-2.10
Sn (0.4892, 0.4929, 0.5750)  4 O 2.08-2.27
Sn (0.1507, 0.3013, 0.0801)  4 O 2.13-2.31
Sn (0.9092, 0.3395, 0.8384)  2 O 2.17-2.35
Sn (0.6792, 0.3584, 0.1108)  3 O 2.04-2.08
Sn (0.9027, 0.8053, 0.8215)  3 O 2.07-2.08
Sn (0.1461, 0.8176, 0.0882)  2 O 2.13-2.32
Sn (0.6715, 0.8176, 0.0882)  2 O 2.13-2.32
Sn (0.0952, 0.1905, 0.3409)  4 O 2.07-2.32
Sn (0.4411, 0.8822, 0.8703)  3 O 2.10-2.17
Sn (0.4303, 0.3395, 0.8384)  2 O 2.17-2.35
Sn (0.0037, 0.4929, 0.5750)  4 O 2.08-2.27
O (0.2363, 0.9795, 0.8145)  3 Sn 2.08-2.17
O (0.1235, 0.8172, 0.5333)  4 Sn 2.10-2.32
O (0.4243, 0.8485, 0.4111)  3 Sn 2.07-2.08
O (0.3526, 0.1712, 0.1147)  3 Sn 2.04-2.17
O (0.1231, 0.2462, 0.5262)  4 Sn 2.09-2.32
O (0.3445, 0.6890, 0.6349)  3 Sn 2.11-2.12
O (0.8186, 0.1712, 0.1147)  3 Sn 2.04-2.17
O (0.2250, 0.4500, 0.2524)  4 Sn 2.13-2.30
O (0.6937, 0.8172, 0.5333)  4 Sn 2.10-2.32
O (0.7433, 0.9795, 0.8145)  3 Sn 2.08-2.17
O (0.9755, 0.4009, 0.4068)  3 Sn 2.07-2.08
O (0.6238, 0.2475, 0.9414)  2 Sn 2.08-2.17
O (0.4254, 0.4009, 0.4068)  3 Sn 2.07-2.08
O (0.9585, 0.9171, 0.9900)  4 Sn 2.07-2.32
Os (0.8843, 0.7687, 0.2313)  6 Sn 2.54-2.60
Os (0.6976, 0.3952, 0.6943)  6 Sn 2.56-2.63
Os (0.2887, 0.5775, 0.9649)  6 Sn 2.57-2.61

***

Entry 2:
VASP calculation (PBEsol) on a relaxed V2Si2O7 crystal.

Calculated values
Density of states at the Fermi level, states/eV per atom: 0.61
Total DFT energy (no corrections), eV per atom: -8.597
ρ, g/cm3: 3.85
Energy above the most stable polymorph in this dataset, kJ per mole of atoms: 0.4
Space group: C2/m (12)
Uncorrected formation energy, kJ/mol of formula units: -2611

Cell lengths 4.6456, 5.1682, 5.1701 Å; angles 106.45, 96.97, 96.98 degrees
Last column: nearest neighbours and their distance in Å.
Sites, in units of the cell vectors:
Si (0.5968, 0.7664, 0.7664)  4 O 1.60-1.65
Si (0.4032, 0.2336, 0.2336)  4 O 1.60-1.65
O (0.2732, 0.5953, 0.5953)  1 Si 1.65
O (0.5000, 0.0000, 0.0000)  2 Si 1.60
O (0.7954, 0.9270, 0.5975)  1 Si 1.65
O (0.7268, 0.4047, 0.4047)  1 Si 1.65
O (0.7953, 0.5974, 0.9269)  1 Si 1.65
O (0.2046, 0.0730, 0.4025)  1 Si 1.65
O (0.2047, 0.4026, 0.0731)  1 Si 1.65
V (0.0000, 0.6870, 0.3129)  6 O 2.00-2.05
V (0.0000, 0.3130, 0.6871)  6 O 2.00-2.05

***

Entry 3:
VASP calculation (PBEsol) on a relaxed SrFeO3 crystal.

Calculated values
Density of states at the Fermi level, states/eV per atom: 0.22
Total DFT energy (no corrections), eV per atom: -7.363
ρ, g/cm3: 5.88
Space group: Pm-3m (221)
Uncorrected formation energy, kJ/mol of formula units: -990

Cell lengths 3.7804, 3.7804, 3.7804 Å; angles 90.00, 90.00, 90.00 degrees
Last column: nearest neighbours and their distance in Å.
Sites, in units of the cell vectors:
O (0.0000, 0.0000, 0.5000)  2 Fe 1.89
O (0.5000, 0.0000, 0.0000)  2 Fe 1.89
O (0.0000, 0.5000, 0.0000)  2 Fe 1.89
Sr (0.5000, 0.5000, 0.5000)  12 O 2.67
Fe (0.0000, 0.0000, 0.0000)  6 O 1.89

***

Entry 4:
VASP calculation (PBEsol) on a relaxed La2MnCrO6 crystal.

Calculated values
Density of states at the Fermi level, states/eV per atom: 0.23
Total DFT energy (no corrections), eV per atom: -8.921
ρ, g/cm3: 6.82
Space group: P2_1/c (14)
Uncorrected formation energy, kJ/mol of formula units: -2607

Cell lengths 5.4067, 5.4075, 8.0101 Å; angles 90.00, 89.42, 90.00 degrees
Last column: nearest neighbours and their distance in Å.
Sites, in units of the cell vectors:
O (0.2806, 0.7142, 0.4594)  1 Mn 1.93, 1 Cr 1.98
O (0.2194, 0.2142, 0.0406)  1 Mn 1.93, 1 Cr 1.98
O (0.4289, 0.9901, 0.7416)  1 Cr 1.97, 1 Mn 2.11
O (0.7806, 0.7858, 0.9594)  1 Mn 1.93, 1 Cr 1.98
O (0.7135, 0.2820, 0.9603)  1 Mn 1.94, 1 Cr 1.98
O (0.2865, 0.7180, 0.0397)  1 Mn 1.94, 1 Cr 1.98
O (0.7865, 0.7820, 0.5397)  1 Mn 1.94, 1 Cr 1.98
O (0.0711, 0.4901, 0.7584)  1 Cr 1.97, 1 Mn 2.11
O (0.9289, 0.5099, 0.2416)  1 Cr 1.97, 1 Mn 2.11
O (0.2135, 0.2180, 0.4603)  1 Mn 1.94, 1 Cr 1.98
O (0.5711, 0.0099, 0.2584)  1 Cr 1.97, 1 Mn 2.11
O (0.7194, 0.2858, 0.5406)  1 Mn 1.93, 1 Cr 1.98
Mn (0.0000, 0.5000, 0.5000)  6 O 1.93-2.11
Mn (0.5000, 0.0000, 0.0000)  6 O 1.93-2.11
La (0.9921, 0.0314, 0.7492)  6 O 2.37-2.63
La (0.4921, 0.4686, 0.2492)  6 O 2.37-2.63
La (0.5079, 0.5314, 0.7508)  6 O 2.37-2.63
La (0.0079, 0.9686, 0.2508)  6 O 2.37-2.63
Cr (0.5000, 0.0000, 0.5000)  6 O 1.97-1.98
Cr (0.0000, 0.5000, 0.0000)  6 O 1.97-1.98

***

Entry 5:
VASP calculation (PBEsol) on a relaxed SnHgP2S crystal.

Calculated values
Density of states at the Fermi level, states/eV per atom: 1.17
Total DFT energy (no corrections), eV per atom: -3.219
ρ, g/cm3: 5.75
Space group: P4/mmm (123)
Uncorrected formation energy, kJ/mol of formula units: 454

Cell lengths 4.8812, 4.8812, 5.0078 Å; angles 90.00, 90.00, 90.00 degrees
Last column: nearest neighbours and their distance in Å.
Sites, in units of the cell vectors:
Sn (0.5000, 0.5000, 0.5000)  4 S 3.45, 8 P 3.50
Hg (0.0000, 0.0000, 0.0000)  4 P 2.44, 2 S 2.50
P (0.5000, 0.0000, 0.0000)  2 Hg 2.44
P (0.0000, 0.5000, 0.0000)  2 Hg 2.44
S (0.0000, 0.0000, 0.5000)  2 Hg 2.50

***

Entry 6:
VASP calculation (PBEsol) on a relaxed CuAu crystal.

Calculated values
Density of states at the Fermi level, states/eV per atom: 0.45
Total DFT energy (no corrections), eV per atom: -4.089
ρ, g/cm3: 14.91
Space group: P-6m2 (187)

Cell lengths 2.8121, 2.8121, 4.2378 Å; angles 90.00, 90.00, 120.00 degrees
Last column: nearest neighbours and their distance in Å.
Sites, in units of the cell vectors:
Au (0.0000, 0.0000, 0.0000)  6 Cu 2.67, 6 Au 2.81
Cu (0.6667, 0.3333, 0.5000)  6 Au 2.67, 6 Cu 2.81

***

Entry 7:
VASP calculation (PBEsol) on a relaxed AlTl2Ir crystal.

Calculated values
Density of states at the Fermi level, states/eV per atom: 0.46
Total DFT energy (no corrections), eV per atom: -4.278
ρ, g/cm3: 13.40
Energy above the most stable polymorph in this dataset, kJ per mole of atoms: 54.1
Space group: Fm-3m (225)

Cell lengths 4.7916, 4.7916, 4.7916 Å; angles 60.00, 60.00, 60.00 degrees
Last column: nearest neighbours and their distance in Å.
Sites, in units of the cell vectors:
Ir (0.5000, 0.5000, 0.5000)  8 Tl 2.93
Tl (0.2500, 0.2500, 0.2500)  4 Al 2.93, 4 Ir 2.93
Tl (0.7500, 0.7500, 0.7500)  4 Ir 2.93, 4 Al 2.93
Al (0.0000, 0.0000, 0.0000)  8 Tl 2.93

***

Entry 8:
VASP calculation (PBEsol) on a relaxed Ca2CuAu crystal.

Calculated values
Density of states at the Fermi level, states/eV per atom: 0.52
Total DFT energy (no corrections), eV per atom: -3.581
ρ, g/cm3: 5.98
Space group: Amm2 (38)

Cell lengths 4.0396, 4.3478, 5.7559 Å; angles 90.00, 110.54, 90.00 degrees
Last column: nearest neighbours and their distance in Å.
Sites, in units of the cell vectors:
Ca (0.9828, 0.0000, 0.9657)  3 Cu 3.03-3.13, 4 Au 3.07
Ca (0.2676, 0.5000, 0.5353)  3 Au 3.04-3.11, 4 Cu 3.08
Cu (0.6921, 0.0000, 0.3842)  2 Au 2.62
Au (0.5566, 0.5000, 0.1131)  2 Cu 2.62

***

Entry 9:
VASP calculation (PBEsol) on a relaxed EuSnO3 crystal.

Calculated values
Density of states at the Fermi level, states/eV per atom: 2.63
Total DFT energy (no corrections), eV per atom: -8.291
ρ, g/cm3: 7.81
Space group: Pm-3m (221)
Uncorrected formation energy, kJ/mol of formula units: -1050

Cell lengths 4.0764, 4.0764, 4.0764 Å; angles 90.00, 90.00, 90.00 degrees
Last column: nearest neighbours and their distance in Å.
Sites, in units of the cell vectors:
Sn (0.5000, 0.5000, 0.5000)  6 O 2.04
O (0.0000, 0.5000, 0.5000)  2 Sn 2.04
O (0.5000, 0.0000, 0.5000)  2 Sn 2.04
O (0.5000, 0.5000, 0.0000)  2 Sn 2.04
Eu (0.0000, 0.0000, 0.0000)  12 O 2.88

***

Entry 10:
VASP calculation (PBEsol) on a relaxed LaFeCl2 crystal.

Calculated values
Density of states at the Fermi level, states/eV per atom: 0.98
Total DFT energy (no corrections), eV per atom: -5.296
ρ, g/cm3: 5.74
Space group: P4/mmm (123)
Uncorrected formation energy, kJ/mol of formula units: -276

Cell lengths 3.9129, 4.4341, 4.4272 Å; angles 90.00, 90.00, 90.00 degrees
Last column: nearest neighbours and their distance in Å.
Sites, in units of the cell vectors:
Cl (0.0000, 0.0000, 0.0000)  4 La 2.95, 4 Fe 2.96, 4 Cl 3.13
Cl (0.0000, 0.5000, 0.5000)  4 Fe 2.95, 4 La 2.96, 4 Cl 3.13
La (0.5000, 0.0000, 0.5000)  8 Cl 2.95-2.96, 4 Fe 3.13
Fe (0.5000, 0.5000, 0.0000)  8 Cl 2.95-2.96, 4 La 3.13